# 1
## YRh2Cl (PBE)

Data for a geometry-optimized YRh2Cl structure.

Output
* DOS at the Fermi energy: 3.74 states/eV/cell
* ΔE to the lowest computed polymorph: 205 meV per atom
* formation energy (no corrections): -0.35 eV/atom

Geometry as CIF:
```
data_YRh2Cl
_symmetry_space_group_name_H-M 'P 1'
_symmetry_Int_Tables_number 1
_cell_length_a 3.749
_cell_length_b 3.749
_cell_length_c 5.321
_cell_angle_alpha 90.00
_cell_angle_beta 90.00
_cell_angle_gamma 90.00
loop_
_symmetry_equiv_pos_as_xyz
'x,y,z'
loop_
_atom_site_label
_atom_site_fract_x
_atom_site_fract_y
_atom_site_fract_z
Cl1 0.000 0.500 0.500
Rh1 0.500 0.500 0.000
Rh2 0.000 0.000 0.000
Y1 0.500 0.000 0.500
```

# 2
## YRhCl2 (PBE)

Data for a geometry-optimized YRhCl2 structure.

Output
* DOS at the Fermi energy: 0.49 states/eV/cell
* ΔE to the lowest computed polymorph: 138 meV per atom
* formation energy (no corrections): -1.08 eV/atom

Geometry as CIF:
```
data_YRhCl2
_symmetry_space_group_name_H-M 'P 1'
_symmetry_Int_Tables_number 1
_cell_length_a 7.218
_cell_length_b 7.218
_cell_length_c 7.218
_cell_angle_alpha 33.02
_cell_angle_beta 33.02
_cell_angle_gamma 33.02
loop_
_symmetry_equiv_pos_as_xyz
'x,y,z'
loop_
_atom_site_label
_atom_site_fract_x
_atom_site_fract_y
_atom_site_fract_z
Cl1 0.023 0.023 0.023
Cl2 0.197 0.197 0.197
Y1 0.770 0.770 0.770
Rh1 0.509 0.509 0.509
```

# 3
## Y4RhCl (PBE)

Data for a geometry-optimized Y4RhCl structure.

Output
* DOS at the Fermi energy: 9.98 states/eV/cell
* formation energy (no corrections): 0.53 eV/atom

Geometry as CIF:
```
data_Y4RhCl
_symmetry_space_group_name_H-M 'P 1'
_symmetry_Int_Tables_number 1
_cell_length_a 6.215
_cell_length_b 6.215
_cell_length_c 6.215
_cell_angle_alpha 60.00
_cell_angle_beta 60.00
_cell_angle_gamma 60.00
loop_
_symmetry_equiv_pos_as_xyz
'x,y,z'
loop_
_atom_site_label
_atom_site_fract_x
_atom_site_fract_y
_atom_site_fract_z
Y1 0.373 0.880 0.373
Y2 0.373 0.373 0.373
Y3 0.880 0.373 0.373
Y4 0.373 0.373 0.880
Rh1 0.000 0.000 0.000
Cl1 0.750 0.750 0.750
```

# 4
## YRhCl2 (PBE)

Data for a geometry-optimized YRhCl2 structure.

Output
* DOS at the Fermi energy: 2.40 states/eV/cell
* ΔE to the lowest computed polymorph: 528 meV per atom
* formation energy (no corrections): -0.69 eV/atom

Geometry as CIF:
```
data_YRhCl2
_symmetry_space_group_name_H-M 'P 1'
_symmetry_Int_Tables_number 1
_cell_length_a 8.688
_cell_length_b 8.688
_cell_length_c 8.688
_cell_angle_alpha 22.60
_cell_angle_beta 22.60
_cell_angle_gamma 22.60
loop_
_symmetry_equiv_pos_as_xyz
'x,y,z'
loop_
_atom_site_label
_atom_site_fract_x
_atom_site_fract_y
_atom_site_fract_z
Y1 0.500 0.500 0.500
Cl1 0.908 0.908 0.908
Cl2 0.092 0.092 0.092
Rh1 0.000 0.000 0.000
```

# 5
## YRh2Cl (PBE)

Data for a geometry-optimized YRh2Cl structure.

Output
* DOS at the Fermi energy: 3.75 states/eV/cell
* ΔE to the lowest computed polymorph: 0 meV per atom
* formation energy (no corrections): -0.55 eV/atom

Geometry as CIF:
```
data_YRh2Cl
_symmetry_space_group_name_H-M 'P 1'
_symmetry_Int_Tables_number 1
_cell_length_a 3.444
_cell_length_b 3.443
_cell_length_c 7.465
_cell_angle_alpha 76.63
_cell_angle_beta 90.00
_cell_angle_gamma 90.00
loop_
_symmetry_equiv_pos_as_xyz
'x,y,z'
loop_
_atom_site_label
_atom_site_fract_x
_atom_site_fract_y
_atom_site_fract_z
Cl1 0.500 0.964 0.695
Rh1 0.500 0.201 0.223
Rh2 0.000 0.759 0.109
Y1 0.000 0.575 0.473
```

# 6
## YRh2Cl (PBE)

Data for a geometry-optimized YRh2Cl structure.

Output
* DOS at the Fermi energy: 6.06 states/eV/cell
* ΔE to the lowest computed polymorph: 347 meV per atom
* formation energy (no corrections): -0.20 eV/atom

Geometry as CIF:
```
data_YRh2Cl
_symmetry_space_group_name_H-M 'P 1'
_symmetry_Int_Tables_number 1
_cell_length_a 4.681
_cell_length_b 4.681
_cell_length_c 4.681
_cell_angle_alpha 60.00
_cell_angle_beta 60.00
_cell_angle_gamma 60.00
loop_
_symmetry_equiv_pos_as_xyz
'x,y,z'
loop_
_atom_site_label
_atom_site_fract_x
_atom_site_fract_y
_atom_site_fract_z
Y1 0.750 0.750 0.750
Rh1 0.000 0.000 0.000
Rh2 0.250 0.250 0.250
Cl1 0.500 0.500 0.500
```

# 7
## YRhCl2 (PBE)

Data for a geometry-optimized YRhCl2 structure.

Output
* DOS at the Fermi energy: 4.54 states/eV/cell
* ΔE to the lowest computed polymorph: 561 meV per atom
* formation energy (no corrections): -0.66 eV/atom

Geometry as CIF:
```
data_YRhCl2
_symmetry_space_group_name_H-M 'P 1'
_symmetry_Int_Tables_number 1
_cell_length_a 4.776
_cell_length_b 4.776
_cell_length_c 4.776
_cell_angle_alpha 60.00
_cell_angle_beta 60.00
_cell_angle_gamma 60.00
loop_
_symmetry_equiv_pos_as_xyz
'x,y,z'
loop_
_atom_site_label
_atom_site_fract_x
_atom_site_fract_y
_atom_site_fract_z
Y1 0.750 0.750 0.750
Cl1 0.000 0.000 0.000
Cl2 0.250 0.250 0.250
Rh1 0.500 0.500 0.500
```

# 8
## YRhCl2 (PBE)

Data for a geometry-optimized YRhCl2 structure.

Output
* DOS at the Fermi energy: 1.67 states/eV/cell
* ΔE to the lowest computed polymorph: 359 meV per atom
* formation energy (no corrections): -0.86 eV/atom

Geometry as CIF:
```
data_YRhCl2
_symmetry_space_group_name_H-M 'P 1'
_symmetry_Int_Tables_number 1
_cell_length_a 5.305
_cell_length_b 5.305
_cell_length_c 4.394
_cell_angle_alpha 66.34
_cell_angle_beta 66.34
_cell_angle_gamma 109.45
loop_
_symmetry_equiv_pos_as_xyz
'x,y,z'
loop_
_atom_site_label
_atom_site_fract_x
_atom_site_fract_y
_atom_site_fract_z
Y1 0.000 0.500 0.500
Rh1 0.500 0.000 0.500
Cl1 0.000 0.000 0.000
Cl2 0.500 0.500 0.000
```

One value per record, in order, for total energy: -24.4 -21.8 -31.9 -20.3 -25.2 -23.8 -20.2 -21.0 eV per cell.
One value per record, in order, for V: 74.76 99.38 169.78 84.94 86.10 72.51 77.03 83.85 Å³ per cell.